Arrangement i

This record from Alexandria describes an optimized crystal structure of Mg14CoMo. The functional is GGA-PBE.

Lattice parameters (Å, degrees): 6.2074 6.2074 9.9111 90.00 90.00 120.38
Last column: nearest neighbours and their distance in Å.
Positions (direct):
Mg 0.6623 0.8391 0.7269  1 Co 2.87, 1 Mo 2.88, 6 Mg 2.93-3.21
Mg 0.1726 0.8274 0.2559  1 Mo 2.94, 11 Mg 3.01-3.21
Mg 0.6740 0.3260 0.2640  1 Co 2.87, 9 Mg 2.97-3.19
Mg 0.8319 0.6665 0.0000  12 Mg 3.08-3.27
Mg 0.6740 0.3260 0.7360  1 Co 2.87, 9 Mg 2.97-3.19
Mg 0.1726 0.8274 0.7441  1 Mo 2.94, 11 Mg 3.01-3.21
Mg 0.3335 0.1681 0.0000  12 Mg 3.08-3.27
Mg 0.3351 0.6649 0.0000  12 Mg 3.08-3.22
Mg 0.8345 0.1655 0.0000  12 Mg 3.09-3.22
Mg 0.6623 0.8391 0.2731  1 Co 2.87, 1 Mo 2.88, 6 Mg 2.93-3.21
Mg 0.1609 0.3377 0.2731  1 Co 2.87, 1 Mo 2.88, 6 Mg 2.93-3.21
Mg 0.1609 0.3377 0.7269  1 Co 2.87, 1 Mo 2.88, 6 Mg 2.93-3.21
Mg 0.8382 0.6677 0.5000  8 Mg 2.93-3.12, 2 Mo 3.02-3.19, 2 Co 3.05-3.16
Mg 0.3323 0.1618 0.5000  8 Mg 2.93-3.12, 2 Mo 3.02-3.19, 2 Co 3.05-3.16
Mo 0.3271 0.6729 0.5000  10 Mg 2.88-3.19, 2 Co 3.09
Co 0.8280 0.1720 0.5000  10 Mg 2.87-3.16, 2 Mo 3.09

Values from the calculation:
The spin magnetization comes out at 0.1134 μB per atom. The value obtained for the density of states at the Fermi level is 8.524 states/eV per cell. Its symmetry is Amm2.

Arrangement ii

This record from Alexandria describes an optimized crystal structure of Mg14CoMo. The functional is GGA-PBE.

Lattice parameters (Å, degrees): 6.1962 6.1962 9.8125 90.00 90.00 120.00
Last column: nearest neighbours and their distance in Å.
Positions (direct):
Mg 0.1565 0.8435 0.7534  8 Mg 2.91-3.10, 1 Co 2.95, 1 Mo 3.00
Mg 0.4980 0.5020 0.5000  10 Mg 3.03-3.13, 2 Mo 3.10
Mg 0.1565 0.8435 0.2466  8 Mg 2.91-3.10, 1 Co 2.95, 1 Mo 3.00
Mg 0.6870 0.8435 0.7534  8 Mg 2.91-3.10, 1 Co 2.95, 1 Mo 3.00
Mg 0.1565 0.3130 0.2466  8 Mg 2.91-3.10, 1 Co 2.95, 1 Mo 3.00
Mg 0.0039 0.5020 0.5000  10 Mg 3.03-3.13, 2 Mo 3.10
Mg 0.9995 0.4998 0.0000  10 Mg 3.04-3.10, 2 Co 3.10
Mg 0.6870 0.8435 0.2466  8 Mg 2.91-3.10, 1 Co 2.95, 1 Mo 3.00
Mg 0.6667 0.3333 0.7478  12 Mg 3.03-3.10
Mg 0.5002 0.0005 0.0000  10 Mg 3.04-3.10, 2 Co 3.10
Mg 0.4980 0.9961 0.5000  10 Mg 3.03-3.13, 2 Mo 3.10
Mg 0.1565 0.3130 0.7534  8 Mg 2.91-3.10, 1 Co 2.95, 1 Mo 3.00
Mg 0.5002 0.4998 0.0000  10 Mg 3.04-3.10, 2 Co 3.10
Mg 0.6667 0.3333 0.2522  12 Mg 3.03-3.10
Mo 0.0000 0.0000 0.5000  12 Mg 3.00-3.10
Co 0.0000 0.0000 0.0000  12 Mg 2.95-3.10

Values from the calculation:
The spin magnetization comes out at 0.0396 μB per atom. The value obtained for the density of states at the Fermi level is 8.511 states/eV per cell. Its symmetry is P-6m2.

Of them, arrangement ii has the lowest stability.